A geometry-optimized GdErZnGe structure. Source: Alexandria via LeMat-Bulk, functional PBE.

POSCAR file:
```
GdErZnGe
1.0
0.000 3.551 3.551
3.551 0.000 3.551
3.551 3.551 0.000
Gd Er Zn Ge
1 1 1 1
direct
0.000 0.000 0.000
0.500 0.500 0.500
0.250 0.250 0.250
0.750 0.750 0.750
```

Results
Size of the total moment in μB per cell: 7.17
Density of states at the Fermi level in states/eV per cell: 3.071
Energy relative to the elements in eV per atom: -0.525